DFT (PBE) results for a geometry-optimized Tb4Tm2Al structure.

Calculated values
crystal system	trigonal
symmetry	R-3m (166)
E	-28.3	eV per formula unit
calculated density	7.07	g/cm3
total moment	0.00	μB/f.u.

a = 12.9170 Å, b = 12.9170 Å, c = 12.9170 Å
α = 20.67°, β = 20.67°, γ = 20.67°
Sites, in units of the cell vectors:
Tb 0.0867 0.0867 0.0867
Tb 0.3000 0.3000 0.3000
Tb 0.7000 0.7000 0.7000
Tb 0.9133 0.9133 0.9133
Tm 0.1929 0.1929 0.1929
Tm 0.8071 0.8071 0.8071
Al 0.0000 0.0000 0.0000

DFT (PBE) results for a geometry-optimized Tb6TmAl2 structure.

Calculated values
energy above the most stable polymorph in this dataset	0	meV/atom
crystal system	monoclinic
symmetry	C2/m (12)
E	-41.2	eV per formula unit
calculated density	7.62	g/cm3
total moment	0.00	μB/f.u.

a = 6.5422 Å, b = 6.5422 Å, c = 11.7572 Å
α = 108.26°, β = 108.26°, γ = 32.61°
Sites, in units of the cell vectors:
Tb 0.0238 0.0238 0.3279
Tb 0.3118 0.3118 0.4112
Tb 0.3143 0.3143 0.1232
Tb 0.6857 0.6857 0.8768
Tb 0.6882 0.6882 0.5888
Tb 0.9762 0.9762 0.6721
Tm 0.0000 0.0000 0.0000
Al 0.3518 0.3518 0.7998
Al 0.6482 0.6482 0.2002

DFT (PBE) results for a geometry-optimized TbTm3Al4 structure.

Calculated values
crystal system	orthorhombic
symmetry	Pmma (51)
E	-36.1	eV per formula unit
calculated density	7.08	g/cm3
total moment	0.00	μB/f.u.

a = 10.0801 Å, b = 7.1420 Å, c = 5.0404 Å
α = 90.00°, β = 90.00°, γ = 90.00°
Sites, in units of the cell vectors:
Tb 0.0000 0.0000 0.0000
Tb 0.5000 0.0000 0.0000
Tm 0.0000 0.5000 0.0000
Tm 0.2500 0.0000 0.4991
Tm 0.2500 0.5000 0.4991
Tm 0.5000 0.5000 0.0000
Tm 0.7500 0.0000 0.5009
Tm 0.7500 0.5000 0.5009
Al 0.0000 0.2539 0.5000
Al 0.0000 0.7461 0.5000
Al 0.2500 0.2539 0.9988
Al 0.2500 0.7461 0.9988
Al 0.5000 0.2539 0.5000
Al 0.5000 0.7461 0.5000
Al 0.7500 0.2539 0.0012
Al 0.7500 0.7461 0.0012

DFT (PBE) results for a geometry-optimized TbTm5Al6 structure.

Calculated values
crystal system	orthorhombic
symmetry	Cmmm (65)
E	-54.1	eV per formula unit
calculated density	7.14	g/cm3
total moment	0.00	μB/f.u.

a = 7.9805 Å, b = 7.9805 Å, c = 7.0961 Å
α = 90.00°, β = 90.00°, γ = 143.16°
Sites, in units of the cell vectors:
Tb 0.0000 0.0000 0.0000
Tm 0.0000 0.0000 0.5000
Tm 0.3328 0.6672 0.0000
Tm 0.3345 0.6655 0.5000
Tm 0.6655 0.3345 0.5000
Tm 0.6672 0.3328 0.0000
Al 0.1680 0.8320 0.2529
Al 0.1680 0.8320 0.7471
Al 0.5000 0.5000 0.2520
Al 0.5000 0.5000 0.7480
Al 0.8320 0.1680 0.2529
Al 0.8320 0.1680 0.7471

DFT (PBE) results for a geometry-optimized TbTm7Al5 structure.

Calculated values
crystal system	orthorhombic
symmetry	Imm2 (44)
E	-57.6	eV per formula unit
calculated density	7.56	g/cm3
total moment	0.00	μB/f.u.

a = 7.9315 Å, b = 7.9315 Å, c = 7.9315 Å
α = 135.35°, β = 100.43°, γ = 96.18°
Sites, in units of the cell vectors:
Tb 0.0000 0.0000 0.0000
Tm 0.2033 0.5090 0.6943
Tm 0.2438 0.7438 0.5000
Tm 0.3485 0.3485 0.0000
Tm 0.3614 0.0231 0.3383
Tm 0.6717 0.6717 0.0000
Tm 0.6849 0.0231 0.6617
Tm 0.8148 0.5090 0.3057
Al 0.0107 0.0172 0.4875
Al 0.0107 0.5232 0.9935
Al 0.5297 0.0172 0.0065
Al 0.5297 0.5232 0.5125
Al 0.7777 0.2777 0.5000

DFT (PBE) results for a geometry-optimized TbTm12Al3 structure.

Calculated values
crystal system	tetragonal
symmetry	P4/mmm (123)
E	-71.6	eV per formula unit
calculated density	8.73	g/cm3
total moment	0.00	μB/f.u.

a = 4.7336 Å, b = 4.7336 Å, c = 19.2503 Å
α = 90.00°, β = 90.00°, γ = 90.00°
Sites, in units of the cell vectors:
Tb 0.0000 0.0000 0.0000
Tm 0.0000 0.5000 0.1345
Tm 0.0000 0.5000 0.3786
Tm 0.0000 0.5000 0.6214
Tm 0.0000 0.5000 0.8655
Tm 0.5000 0.0000 0.1345
Tm 0.5000 0.0000 0.3786
Tm 0.5000 0.0000 0.6214
Tm 0.5000 0.0000 0.8655
Tm 0.5000 0.5000 0.0000
Tm 0.5000 0.5000 0.2577
Tm 0.5000 0.5000 0.5000
Tm 0.5000 0.5000 0.7423
Al 0.0000 0.0000 0.2580
Al 0.0000 0.0000 0.5000
Al 0.0000 0.0000 0.7420

DFT (PBE) results for a geometry-optimized Tb4Tm5Al structure.

Calculated values
energy above the most stable polymorph in this dataset	167	meV/atom
crystal system	tetragonal
symmetry	I4mm (107)
E	-43.6	eV per formula unit
calculated density	8.10	g/cm3
total moment	0.00	μB/f.u.

a = 7.9364 Å, b = 7.9364 Å, c = 7.9364 Å
α = 97.17°, β = 97.17°, γ = 138.62°
Sites, in units of the cell vectors:
Tb 0.0000 0.3133 0.3133
Tb 0.0000 0.6867 0.6867
Tb 0.3133 0.0000 0.3133
Tb 0.6867 0.0000 0.6867
Tm 0.2064 0.2064 0.0000
Tm 0.3277 0.3277 0.6353
Tm 0.3277 0.6923 0.0000
Tm 0.6923 0.3277 0.0000
Tm 0.6923 0.6923 0.3647
Al 0.7218 0.7218 0.0000

DFT (PBE) results for a geometry-optimized Tb3Tm2Al2 structure.

Calculated values
energy above the most stable polymorph in this dataset	0	meV/atom
crystal system	monoclinic
symmetry	C2/m (12)
E	-31.7	eV per formula unit
calculated density	7.78	g/cm3
total moment	0.00	μB/f.u.

a = 5.2499 Å, b = 5.2499 Å, c = 8.3390 Å
α = 108.39°, β = 108.39°, γ = 60.02°
Sites, in units of the cell vectors:
Tb 0.0000 0.0000 0.0000
Tb 0.1539 0.1539 0.4618
Tb 0.8461 0.8461 0.5382
Tm 0.4192 0.4192 0.2582
Tm 0.5808 0.5808 0.7418
Al 0.2835 0.2835 0.8502
Al 0.7165 0.7165 0.1498

DFT (PBE) results for a geometry-optimized Tb3TmAl3 structure.

Calculated values
crystal system	orthorhombic
symmetry	Cmmm (65)
E	-31.4	eV per formula unit
calculated density	6.67	g/cm3
total moment	0.00	μB/f.u.

a = 7.2364 Å, b = 7.2364 Å, c = 6.9115 Å
α = 90.00°, β = 90.00°, γ = 90.84°
Sites, in units of the cell vectors:
Tb 0.2339 0.2339 0.5000
Tb 0.2442 0.7558 0.0000
Tb 0.2478 0.2478 0.0000
Tb 0.7522 0.7522 0.0000
Tb 0.7558 0.2442 0.0000
Tb 0.7661 0.7661 0.5000
Tm 0.2491 0.7509 0.5000
Tm 0.7509 0.2491 0.5000
Al 0.0000 0.5000 0.2561
Al 0.0000 0.5000 0.7439
Al 0.5000 0.0000 0.2561
Al 0.5000 0.0000 0.7439
Al 0.5000 0.5000 0.2613
Al 0.5000 0.5000 0.7387

DFT (PBE) results for a geometry-optimized Tb3TmAl structure.

Calculated values
energy above the most stable polymorph in this dataset	0	meV/atom
crystal system	monoclinic
symmetry	C2/m (12)
E	-22.8	eV per formula unit
calculated density	7.82	g/cm3
total moment	0.31	μB/f.u.

a = 6.6898 Å, b = 6.6898 Å, c = 12.3919 Å
α = 95.12°, β = 95.12°, γ = 31.16°
Sites, in units of the cell vectors:
Tb 0.0355 0.0355 0.1949
Tb 0.1412 0.1412 0.4489
Tb 0.3644 0.3644 0.0213
Tb 0.6356 0.6356 0.9787
Tb 0.8588 0.8588 0.5511
Tb 0.9645 0.9645 0.8051
Tm 0.2230 0.2230 0.7481
Tm 0.7770 0.7770 0.2519
Al 0.4469 0.4469 0.3764
Al 0.5531 0.5531 0.6236

DFT (PBE) results for a geometry-optimized TbTm2Al structure.

Calculated values
energy above the most stable polymorph in this dataset	122	meV/atom
crystal system	trigonal
symmetry	R3m (160)
E	-17.6	eV per formula unit
calculated density	7.77	g/cm3
total moment	0.58	μB/f.u.

a = 10.5361 Å, b = 10.5361 Å, c = 10.5361 Å
α = 19.32°, β = 19.32°, γ = 19.32°
Sites, in units of the cell vectors:
Tb 0.0000 0.0000 0.0000
Tm 0.5724 0.5724 0.5724
Tm 0.7602 0.7602 0.7602
Al 0.1660 0.1660 0.1660

DFT (PBE) results for a geometry-optimized Tb6Tm12Al structure.

Calculated values
crystal system	trigonal
symmetry	R-3 (148)
E	-83.2	eV per formula unit
calculated density	8.60	g/cm3
total moment	0.00	μB/f.u.

a = 8.3492 Å, b = 8.3492 Å, c = 8.3492 Å
α = 92.05°, β = 92.05°, γ = 92.05°
Sites, in units of the cell vectors:
Tb 0.2304 0.3886 0.7605
Tb 0.2395 0.7696 0.6114
Tb 0.3886 0.7605 0.2304
Tb 0.6114 0.2395 0.7696
Tb 0.7605 0.2304 0.3886
Tb 0.7696 0.6114 0.2395
Tm 0.0248 0.9638 0.2920
Tm 0.0362 0.7080 0.9752
Tm 0.1316 0.4491 0.3554
Tm 0.2920 0.0248 0.9638
Tm 0.3554 0.1316 0.4491
Tm 0.4491 0.3554 0.1316
Tm 0.5509 0.6446 0.8684
Tm 0.6446 0.8684 0.5509
Tm 0.7080 0.9752 0.0362
Tm 0.8684 0.5509 0.6446
Tm 0.9638 0.2920 0.0248
Tm 0.9752 0.0362 0.7080
Al 0.5000 0.5000 0.5000

DFT (PBE) results for a geometry-optimized TbTm2Al structure.

Calculated values
energy above the most stable polymorph in this dataset	0	meV/atom
crystal system	orthorhombic
symmetry	Amm2 (38)
E	-18.1	eV per formula unit
calculated density	8.31	g/cm3
total moment	0.00	μB/f.u.

a = 5.2760 Å, b = 6.7617 Å, c = 6.7617 Å
α = 60.14°, β = 90.00°, γ = 90.00°
Sites, in units of the cell vectors:
Tb 0.0000 0.2382 0.7618
Tb 0.0000 0.7618 0.2382
Tm 0.0000 0.7608 0.7608
Tm 0.5000 0.4141 0.4141
Tm 0.5000 0.4143 0.9361
Tm 0.5000 0.9361 0.4143
Al 0.0000 0.2548 0.2548
Al 0.5000 0.9187 0.9187

DFT (PBE) results for a geometry-optimized Tb8Tm2Al structure.

Calculated values
crystal system	monoclinic
symmetry	C2/m (12)
E	-50.1	eV per formula unit
calculated density	8.11	g/cm3
total moment	0.00	μB/f.u.

a = 9.9100 Å, b = 9.9100 Å, c = 6.4310 Å
α = 93.19°, β = 93.19°, γ = 32.08°
Sites, in units of the cell vectors:
Tb 0.0419 0.0419 0.2524
Tb 0.1562 0.1562 0.8113
Tb 0.3418 0.3418 0.8807
Tb 0.4208 0.4208 0.3992
Tb 0.5792 0.5792 0.6008
Tb 0.6582 0.6582 0.1193
Tb 0.8438 0.8438 0.1887
Tb 0.9581 0.9581 0.7476
Tm 0.2397 0.2397 0.3356
Tm 0.7603 0.7603 0.6644
Al 0.5000 0.5000 0.0000

DFT (PBE) results for a geometry-optimized Tb8Tm6Al structure.

Calculated values
crystal system	trigonal
symmetry	P-3 (147)
E	-66.1	eV per formula unit
calculated density	8.27	g/cm3
total moment	0.00	μB/f.u.

a = 9.3031 Å, b = 9.3031 Å, c = 6.1903 Å
α = 90.00°, β = 90.00°, γ = 120.00°
Sites, in units of the cell vectors:
Tb 0.0431 0.7792 0.3039
Tb 0.2208 0.2639 0.3039
Tb 0.2639 0.0431 0.6961
Tb 0.3333 0.6667 0.3048
Tb 0.6667 0.3333 0.6952
Tb 0.7361 0.9569 0.3039
Tb 0.7792 0.7361 0.6961
Tb 0.9569 0.2208 0.6961
Tm 0.0953 0.6391 0.8125
Tm 0.3609 0.4562 0.8125
Tm 0.4562 0.0953 0.1875
Tm 0.5438 0.9047 0.8125
Tm 0.6391 0.5438 0.1875
Tm 0.9047 0.3609 0.1875
Al 0.0000 0.0000 0.0000

DFT (PBE) results for a geometry-optimized TbTm2Al2 structure.

Calculated values
energy above the most stable polymorph in this dataset	0	meV/atom
crystal system	monoclinic
symmetry	P2_1/m (11)
E	-22.6	eV per formula unit
calculated density	7.48	g/cm3
total moment	0.00	μB/f.u.

a = 3.5963 Å, b = 5.1212 Å, c = 13.4042 Å
α = 90.00°, β = 97.72°, γ = 90.00°
Sites, in units of the cell vectors:
Tb 0.1449 0.2500 0.2916
Tb 0.8551 0.7500 0.7084
Tm 0.0467 0.7500 0.0936
Tm 0.2333 0.7500 0.4674
Tm 0.7667 0.2500 0.5326
Tm 0.9533 0.2500 0.9064
Al 0.3599 0.2500 0.7188
Al 0.4512 0.7500 0.9025
Al 0.5488 0.2500 0.0975
Al 0.6401 0.7500 0.2812

DFT (PBE) results for a geometry-optimized TbTmAl2 structure.

Calculated values
crystal system	tetragonal
symmetry	P4/mmm (123)
E	-18.2	eV per formula unit
calculated density	6.91	g/cm3
total moment	0.00	μB/f.u.

a = 3.5807 Å, b = 3.5807 Å, c = 7.1568 Å
α = 90.00°, β = 90.00°, γ = 90.00°
Sites, in units of the cell vectors:
Tb 0.0000 0.0000 0.0000
Tm 0.0000 0.0000 0.5000
Al 0.5000 0.5000 0.2575
Al 0.5000 0.5000 0.7425

DFT (PBE) results for a geometry-optimized Tb8TmAl6 structure.

Calculated values
crystal system	trigonal
symmetry	R-3 (148)
E	-66.4	eV per formula unit
calculated density	6.50	g/cm3
total moment	0.00	μB/f.u.

a = 8.0325 Å, b = 8.0325 Å, c = 8.0325 Å
α = 65.38°, β = 65.38°, γ = 65.38°
Sites, in units of the cell vectors:
Tb 0.0522 0.3836 0.7163
Tb 0.1664 0.1664 0.1664
Tb 0.2837 0.9478 0.6165
Tb 0.3835 0.7163 0.0522
Tb 0.6165 0.2837 0.9478
Tb 0.7163 0.0522 0.3835
Tb 0.8336 0.8336 0.8336
Tb 0.9478 0.6165 0.2837
Tm 0.5000 0.5000 0.5000
Al 0.1164 0.7787 0.4479
Al 0.2213 0.5521 0.8836
Al 0.4479 0.1164 0.7787
Al 0.5521 0.8836 0.2213
Al 0.7787 0.4479 0.1164
Al 0.8836 0.2213 0.5521

DFT (PBE) results for a geometry-optimized Tb7Tm12Al structure.

Calculated values
crystal system	trigonal
symmetry	R-3 (148)
E	-86.0	eV per formula unit
calculated density	8.48	g/cm3
total moment	0.00	μB/f.u.

a = 8.5394 Å, b = 8.5394 Å, c = 8.5394 Å
α = 87.08°, β = 87.08°, γ = 87.08°
Sites, in units of the cell vectors:
Tb 0.0000 0.0000 0.0000
Tb 0.1077 0.3553 0.4218
Tb 0.3553 0.4218 0.1077
Tb 0.4218 0.1077 0.3553
Tb 0.5782 0.8923 0.6447
Tb 0.6447 0.5782 0.8923
Tb 0.8923 0.6447 0.5782
Tm 0.0032 0.6409 0.1122
Tm 0.1122 0.0032 0.6409
Tm 0.2475 0.7441 0.3645
Tm 0.2559 0.6355 0.7525
Tm 0.3591 0.8878 0.9968
Tm 0.3645 0.2475 0.7441
Tm 0.6355 0.7525 0.2559
Tm 0.6409 0.1122 0.0032
Tm 0.7441 0.3645 0.2475
Tm 0.7525 0.2559 0.6355
Tm 0.8878 0.9968 0.3591
Tm 0.9968 0.3591 0.8878
Al 0.5000 0.5000 0.5000

DFT (PBE) results for a geometry-optimized TbTm8Al2 structure.

Calculated values
energy above the most stable polymorph in this dataset	0	meV/atom
crystal system	monoclinic
symmetry	C2/m (12)
E	-49.1	eV per formula unit
calculated density	8.51	g/cm3
total moment	0.00	μB/f.u.

a = 8.4670 Å, b = 8.4670 Å, c = 8.0862 Å
α = 112.68°, β = 112.68°, γ = 35.14°
Sites, in units of the cell vectors:
Tb 0.0000 0.0000 0.0000
Tm 0.1092 0.1092 0.4732
Tm 0.1886 0.1886 0.9512
Tm 0.3466 0.3466 0.7779
Tm 0.4436 0.4436 0.2655
Tm 0.5564 0.5564 0.7345
Tm 0.6534 0.6534 0.2221
Tm 0.8114 0.8114 0.0488
Tm 0.8908 0.8908 0.5268
Al 0.2749 0.2749 0.3575
Al 0.7251 0.7251 0.6425

DFT (PBE) results for a geometry-optimized Tb4TmAl2 structure.

Calculated values
energy above the most stable polymorph in this dataset	0	meV/atom
crystal system	monoclinic
symmetry	C2/m (12)
E	-31.0	eV per formula unit
calculated density	7.24	g/cm3
total moment	0.00	μB/f.u.

a = 6.1859 Å, b = 6.1859 Å, c = 5.9627 Å
α = 100.94°, β = 100.94°, γ = 113.10°
Sites, in units of the cell vectors:
Tb 0.1589 0.8411 0.0000
Tb 0.2926 0.7074 0.5000
Tb 0.7074 0.2926 0.5000
Tb 0.8411 0.1589 0.0000
Tm 0.5000 0.5000 0.0000
Al 0.1837 0.1837 0.4922
Al 0.8163 0.8163 0.5078